Record 1
DFT (PBEsol) results for La3YSc after structural relaxation.

Structure (CIF):
```
data_La3YSc
_space_group_name_H-M_alt 'P m -3 m'
_space_group_IT_number 221
_space_group_name_Hall '-P 4 2 3'
_cell_length_a 5.641
_cell_length_b 5.641
_cell_length_c 5.641
_cell_angle_alpha 90.00
_cell_angle_beta 90.00
_cell_angle_gamma 90.00
loop_
_atom_site_label
_atom_site_type_symbol
_atom_site_fract_x
_atom_site_fract_y
_atom_site_fract_z
La1 La 0.000 0.000 0.500
Y1 Y 0.500 0.500 0.500
Sc1 Sc 0.000 0.000 0.000
```

Values from the calculation:
Its calculated volume is 179.5 Å³/cell. The electronic total energy is -26.56 eV for the cell shown.



Record 2
DFT (PBEsol) results for HfIn2NiW after structural relaxation.

Structure (CIF):
```
data_HfIn2NiW
_space_group_name_H-M_alt 'P 4/m m m'
_space_group_IT_number 123
_space_group_name_Hall '-P 4 2'
_cell_length_a 5.310
_cell_length_b 5.310
_cell_length_c 4.767
_cell_angle_alpha 90.00
_cell_angle_beta 90.00
_cell_angle_gamma 90.00
loop_
_atom_site_label
_atom_site_type_symbol
_atom_site_fract_x
_atom_site_fract_y
_atom_site_fract_z
Hf1 Hf 0.000 0.000 0.000
In1 In 0.000 0.500 0.000
Ni1 Ni 0.500 0.500 0.500
W1 W 0.000 0.000 0.500
```

Values from the calculation:
Its calculated volume is 134.4 Å³/cell. The electronic total energy is -26.69 eV for the cell shown.



Record 3
DFT (PBEsol) results for MgCoHg2 after structural relaxation.

Structure (CIF):
```
data_MgCoHg2
_space_group_name_H-M_alt 'R 3 m'
_space_group_IT_number 160
_space_group_name_Hall 'R 3 -2"'
_cell_length_a 3.0491
_cell_length_b 3.0491
_cell_length_c 27.3169
_cell_angle_alpha 90.00
_cell_angle_beta 90.00
_cell_angle_gamma 120.00
loop_
_atom_site_label
_atom_site_type_symbol
_atom_site_fract_x
_atom_site_fract_y
_atom_site_fract_z
Mg1 Mg 0.0000 0.0000 0.0000
Co1 Co 0.0000 0.0000 0.2627
Hg1 Hg 0.0000 0.0000 0.5214
Hg2 Hg 0.0000 0.0000 0.7568
```

Values from the calculation:
Its calculated volume is 219.9 Å³/cell. The electronic total energy is -28.87 eV for the cell shown.



Record 4
DFT (PBEsol) results for BeTlMo2 after structural relaxation.

Structure (CIF):
```
data_BeTlMo2
_space_group_name_H-M_alt 'P 1 2/m 1'
_space_group_IT_number 10
_space_group_name_Hall '-P 2y'
_cell_length_a 2.807
_cell_length_b 3.969
_cell_length_c 5.661
_cell_angle_alpha 90.00
_cell_angle_beta 96.87
_cell_angle_gamma 90.00
loop_
_atom_site_label
_atom_site_type_symbol
_atom_site_fract_x
_atom_site_fract_y
_atom_site_fract_z
Be1 Be 0.000 0.000 0.000
Tl1 Tl 0.000 0.000 0.500
Mo1 Mo 0.431 0.500 0.204
```

Values from the calculation:
Its calculated volume is 62.6 Å³/cell. The calculation puts the offset from the most stable computed form at 24.8 meV/atom. The electronic total energy is -27.99 eV for the cell shown.



Record 5
DFT (PBEsol) results for SrLa4Te after structural relaxation.

Structure (CIF):
```
data_SrLa4Te
_space_group_name_H-M_alt 'F -4 3 m'
_space_group_IT_number 216
_space_group_name_Hall 'F -4 2 3'
_cell_length_a 9.377
_cell_length_b 9.377
_cell_length_c 9.377
_cell_angle_alpha 90.00
_cell_angle_beta 90.00
_cell_angle_gamma 90.00
loop_
_atom_site_label
_atom_site_type_symbol
_atom_site_fract_x
_atom_site_fract_y
_atom_site_fract_z
Sr1 Sr 0.000 0.000 0.000
La1 La 0.127 0.127 0.627
Te1 Te 0.250 0.250 0.250
```

Values from the calculation:
Its calculated volume is 824.5 Å³/cell. The formation energy (no corrections) is 0.035 eV/atom. The electronic total energy is -106.17 eV for the cell shown.



Record 6
DFT (PBEsol) results for TbAu3 after structural relaxation.

Structure (CIF):
```
data_TbAu3
_space_group_name_H-M_alt 'P m m n'
_space_group_IT_number 59
_cell_length_a 4.976
_cell_length_b 6.055
_cell_length_c 5.082
_cell_angle_alpha 90.00
_cell_angle_beta 90.00
_cell_angle_gamma 90.00
loop_
_space_group_symop_operation_xyz
'x,y,z'
'-x,-y,-z'
'-x+1/2,-y+1/2,z'
'x+1/2,y+1/2,-z'
'x+1/2,-y,-z'
'-x+1/2,y,z'
'-x,y+1/2,-z'
'x,-y+1/2,z'
loop_
_atom_site_label
_atom_site_type_symbol
_atom_site_fract_x
_atom_site_fract_y
_atom_site_fract_z
Tb1 Tb 0.250 0.250 0.156
Au1 Au 0.250 0.507 0.661
Au2 Au 0.250 0.750 0.169
```

Values from the calculation:
Its calculated volume is 153.1 Å³/cell. The electronic total energy is -39.39 eV for the cell shown.



Record 7
DFT (PBEsol) results for LaTePdI2 after structural relaxation.

Structure (CIF):
```
data_LaTePdI2
_space_group_name_H-M_alt 'P 4/m m m'
_space_group_IT_number 123
_space_group_name_Hall '-P 4 2'
_cell_length_a 6.104
_cell_length_b 6.104
_cell_length_c 6.145
_cell_angle_alpha 90.00
_cell_angle_beta 90.00
_cell_angle_gamma 90.00
loop_
_atom_site_label
_atom_site_type_symbol
_atom_site_fract_x
_atom_site_fract_y
_atom_site_fract_z
La1 La 0.000 0.000 0.000
Te1 Te 0.000 0.000 0.500
Pd1 Pd 0.500 0.500 0.500
I1 I 0.000 0.500 0.000
```

Values from the calculation:
Its calculated volume is 229.0 Å³/cell. The formation energy (no corrections) is -0.034 eV/atom. The electronic total energy is -18.53 eV for the cell shown.



Record 8
DFT (PBEsol) results for K2TeW3O12 after structural relaxation.

Structure (CIF):
```
data_K2TeW3O12
_space_group_name_H-M_alt 'P 1 21/c 1'
_space_group_IT_number 14
_space_group_name_Hall '-P 2ybc'
_cell_length_a 7.296
_cell_length_b 11.540
_cell_length_c 14.644
_cell_angle_alpha 90.00
_cell_angle_beta 119.87
_cell_angle_gamma 90.00
loop_
_atom_site_label
_atom_site_type_symbol
_atom_site_fract_x
_atom_site_fract_y
_atom_site_fract_z
K1 K 0.122 0.057 0.372
K2 K 0.169 0.046 0.919
Te1 Te 0.450 0.514 0.700
W1 W 0.163 0.245 0.168
W2 W 0.325 0.745 0.331
W3 W 0.334 0.692 0.084
O1 O 0.036 0.726 0.970
O2 O 0.055 0.687 0.305
O3 O 0.179 0.116 0.726
O4 O 0.194 0.078 0.131
O5 O 0.227 0.616 0.774
O6 O 0.250 0.688 0.185
O7 O 0.302 0.544 0.052
O8 O 0.343 0.626 0.593
O9 O 0.380 0.188 0.315
O10 O 0.401 0.223 0.651
O11 O 0.403 0.726 0.970
O12 O 0.432 0.578 0.369
```

Values from the calculation:
Its calculated volume is 1069.3 Å³/cell. The formation energy (no corrections) is -1.999 eV/atom. The electronic total energy is -584.78 eV for the cell shown.



Record 9
DFT (PBEsol) results for Ba2CePtO6 after structural relaxation.

Structure (CIF):
```
data_Ba2CePtO6
_space_group_name_H-M_alt 'F m -3 m'
_space_group_IT_number 225
_space_group_name_Hall '-F 4 2 3'
_cell_length_a 8.398
_cell_length_b 8.398
_cell_length_c 8.398
_cell_angle_alpha 90.00
_cell_angle_beta 90.00
_cell_angle_gamma 90.00
loop_
_atom_site_label
_atom_site_type_symbol
_atom_site_fract_x
_atom_site_fract_y
_atom_site_fract_z
Ba1 Ba 0.250 0.250 0.250
Ce1 Ce 0.000 0.000 0.000
Pt1 Pt 0.000 0.000 0.500
O1 O 0.000 0.000 0.261
```

Values from the calculation:
Its calculated volume is 592.2 Å³/cell. The formation energy (no corrections) is -2.430 eV/atom. The electronic total energy is -294.62 eV for the cell shown.



Record 10
DFT (PBEsol) results for KAgRu after structural relaxation.

Structure (CIF):
```
data_KAgRu
_space_group_name_H-M_alt 'F -4 3 m'
_space_group_IT_number 216
_space_group_name_Hall 'F -4 2 3'
_cell_length_a 6.541
_cell_length_b 6.541
_cell_length_c 6.541
_cell_angle_alpha 90.00
_cell_angle_beta 90.00
_cell_angle_gamma 90.00
loop_
_atom_site_label
_atom_site_type_symbol
_atom_site_fract_x
_atom_site_fract_y
_atom_site_fract_z
K1 K 0.000 0.000 0.000
Ag1 Ag 0.000 0.000 0.500
Ru1 Ru 0.250 0.250 0.750
```

Values from the calculation:
Its calculated volume is 279.9 Å³/cell. The electronic total energy is -39.19 eV for the cell shown.



Record 11
DFT (PBEsol) results for Pr3HfSb5 after structural relaxation.

Structure (CIF):
```
data_Pr3HfSb5
_space_group_name_H-M_alt 'P 63/m c m'
_space_group_IT_number 193
_space_group_name_Hall '-P 6c 2'
_cell_length_a 9.4321
_cell_length_b 9.4321
_cell_length_c 6.2479
_cell_angle_alpha 90.00
_cell_angle_beta 90.00
_cell_angle_gamma 120.00
loop_
_atom_site_label
_atom_site_type_symbol
_atom_site_fract_x
_atom_site_fract_y
_atom_site_fract_z
Pr1 Pr 0.0000 0.3819 0.2500
Hf1 Hf 0.0000 0.0000 0.0000
Sb1 Sb 0.0000 0.2621 0.7500
Sb2 Sb 0.3333 0.6667 0.0000
```

Values from the calculation:
Its calculated volume is 481.4 Å³/cell. The formation energy (no corrections) is -0.986 eV/atom. The electronic total energy is -115.44 eV for the cell shown.



Record 12
DFT (PBEsol) results for MnBe4Ir after structural relaxation.

Structure (CIF):
```
data_MnBe4Ir
_space_group_name_H-M_alt 'F -4 3 m'
_space_group_IT_number 216
_space_group_name_Hall 'F -4 2 3'
_cell_length_a 6.026
_cell_length_b 6.026
_cell_length_c 6.026
_cell_angle_alpha 90.00
_cell_angle_beta 90.00
_cell_angle_gamma 90.00
loop_
_atom_site_label
_atom_site_type_symbol
_atom_site_fract_x
_atom_site_fract_y
_atom_site_fract_z
Mn1 Mn 0.000 0.000 0.000
Be1 Be 0.126 0.126 0.374
Ir1 Ir 0.250 0.250 0.750
```

Values from the calculation:
Its calculated volume is 218.8 Å³/cell. The electronic total energy is -152.25 eV for the cell shown.



Record 13
DFT (PBEsol) results for Sr3NbC after structural relaxation.

Structure (CIF):
```
data_Sr3NbC
_space_group_name_H-M_alt 'P m -3 m'
_space_group_IT_number 221
_space_group_name_Hall '-P 4 2 3'
_cell_length_a 5.372
_cell_length_b 5.372
_cell_length_c 5.372
_cell_angle_alpha 90.00
_cell_angle_beta 90.00
_cell_angle_gamma 90.00
loop_
_atom_site_label
_atom_site_type_symbol
_atom_site_fract_x
_atom_site_fract_y
_atom_site_fract_z
Sr1 Sr 0.000 0.000 0.500
Nb1 Nb 0.500 0.500 0.500
C1 C 0.000 0.000 0.000
```

Values from the calculation:
Its calculated volume is 155.0 Å³/cell. The electronic total energy is -20.84 eV for the cell shown.



Record 14
DFT (PBEsol) results for EuZn2Ge2 after structural relaxation.

Structure (CIF):
```
data_EuZn2Ge2
_space_group_name_H-M_alt 'I 4/m m m'
_space_group_IT_number 139
_space_group_name_Hall '-I 4 2'
_cell_length_a 4.198
_cell_length_b 4.198
_cell_length_c 10.706
_cell_angle_alpha 90.00
_cell_angle_beta 90.00
_cell_angle_gamma 90.00
loop_
_atom_site_label
_atom_site_type_symbol
_atom_site_fract_x
_atom_site_fract_y
_atom_site_fract_z
Eu1 Eu 0.000 0.000 0.000
Zn1 Zn 0.000 0.500 0.250
Ge1 Ge 0.000 0.000 0.383
```

Values from the calculation:
Its calculated volume is 188.6 Å³/cell. The electronic total energy is -51.55 eV for the cell shown.



Record 15
DFT (PBEsol) results for IrBr2Cl after structural relaxation.

Structure (CIF):
```
data_IrBr2Cl
_space_group_name_H-M_alt 'C m m m'
_space_group_IT_number 65
_space_group_name_Hall '-C 2 2'
_cell_length_a 3.584
_cell_length_b 6.888
_cell_length_c 8.039
_cell_angle_alpha 90.00
_cell_angle_beta 90.00
_cell_angle_gamma 90.00
loop_
_atom_site_label
_atom_site_type_symbol
_atom_site_fract_x
_atom_site_fract_y
_atom_site_fract_z
Ir1 Ir 0.000 0.000 0.000
Br1 Br 0.000 0.500 0.201
Cl1 Cl 0.000 0.000 0.500
```

Values from the calculation:
Its calculated volume is 198.4 Å³/cell. The calculation puts the offset from the most stable computed form at 557.2 meV/atom. The formation energy (no corrections) is 0.423 eV/atom. The electronic total energy is -27.76 eV for the cell shown.



Record 16
DFT (PBEsol) results for Ba2SbBr after structural relaxation.

Structure (CIF):
```
data_Ba2SbBr
_space_group_name_H-M_alt 'P 4/m m m'
_space_group_IT_number 123
_space_group_name_Hall '-P 4 2'
_cell_length_a 4.872
_cell_length_b 4.872
_cell_length_c 6.752
_cell_angle_alpha 90.00
_cell_angle_beta 90.00
_cell_angle_gamma 90.00
loop_
_atom_site_label
_atom_site_type_symbol
_atom_site_fract_x
_atom_site_fract_y
_atom_site_fract_z
Ba1 Ba 0.000 0.000 0.000
Ba2 Ba 0.500 0.500 0.500
Sb1 Sb 0.000 0.000 0.500
Br1 Br 0.500 0.500 0.000
```

Values from the calculation:
Its calculated volume is 160.3 Å³/cell. The formation energy (no corrections) is -1.460 eV/atom. The electronic total energy is -16.57 eV for the cell shown.



Record 17
DFT (PBEsol) results for NbIrPd2 after structural relaxation.

Structure (CIF):
```
data_NbIrPd2
_space_group_name_H-M_alt 'F m -3 m'
_space_group_IT_number 225
_space_group_name_Hall '-F 4 2 3'
_cell_length_a 6.239
_cell_length_b 6.239
_cell_length_c 6.239
_cell_angle_alpha 90.00
_cell_angle_beta 90.00
_cell_angle_gamma 90.00
loop_
_atom_site_label
_atom_site_type_symbol
_atom_site_fract_x
_atom_site_fract_y
_atom_site_fract_z
Nb1 Nb 0.000 0.000 0.000
Ir1 Ir 0.000 0.000 0.500
Pd1 Pd 0.250 0.250 0.250
```

Values from the calculation:
Its calculated volume is 242.9 Å³/cell. The electronic total energy is -131.00 eV for the cell shown.



Record 18
DFT (PBEsol) results for LaTaTe2 after structural relaxation.

Structure (CIF):
```
data_LaTaTe2
_space_group_name_H-M_alt 'P 4/m m m'
_space_group_IT_number 123
_space_group_name_Hall '-P 4 2'
_cell_length_a 3.530
_cell_length_b 3.530
_cell_length_c 7.545
_cell_angle_alpha 90.00
_cell_angle_beta 90.00
_cell_angle_gamma 90.00
loop_
_atom_site_label
_atom_site_type_symbol
_atom_site_fract_x
_atom_site_fract_y
_atom_site_fract_z
La1 La 0.000 0.000 0.000
Ta1 Ta 0.000 0.000 0.500
Te1 Te 0.500 0.500 0.284
```

Values from the calculation:
Its calculated volume is 94.0 Å³/cell. The calculation puts the offset from the most stable computed form at 0.0 meV/atom. The formation energy (no corrections) is -0.519 eV/atom. The electronic total energy is -27.03 eV for the cell shown.



Record 19
DFT (PBEsol) results for LiZnFe after structural relaxation.

Structure (CIF):
```
data_LiZnFe
_space_group_name_H-M_alt 'P 3 m 1'
_space_group_IT_number 156
_space_group_name_Hall 'P 3 -2"'
_cell_length_a 4.1493
_cell_length_b 4.1493
_cell_length_c 2.4662
_cell_angle_alpha 90.00
_cell_angle_beta 90.00
_cell_angle_gamma 120.00
loop_
_atom_site_label
_atom_site_type_symbol
_atom_site_fract_x
_atom_site_fract_y
_atom_site_fract_z
Li1 Li 0.0000 0.0000 0.0000
Zn1 Zn 0.6667 0.3333 0.2892
Fe1 Fe 0.3333 0.6667 0.6813
```

Values from the calculation:
Its calculated volume is 36.8 Å³/cell. The calculation puts the offset from the most stable computed form at 0.0 meV/atom. The electronic total energy is -12.03 eV for the cell shown.



Record 20
DFT (PBEsol) results for AlTeW2 after structural relaxation.

Structure (CIF):
```
data_AlTeW2
_space_group_name_H-M_alt 'F m -3 m'
_space_group_IT_number 225
_space_group_name_Hall '-F 4 2 3'
_cell_length_a 6.411
_cell_length_b 6.411
_cell_length_c 6.411
_cell_angle_alpha 90.00
_cell_angle_beta 90.00
_cell_angle_gamma 90.00
loop_
_atom_site_label
_atom_site_type_symbol
_atom_site_fract_x
_atom_site_fract_y
_atom_site_fract_z
Al1 Al 0.000 0.000 0.000
Te1 Te 0.000 0.000 0.500
W1 W 0.250 0.250 0.250
```

Values from the calculation:
Its calculated volume is 263.4 Å³/cell. The calculation puts the offset from the most stable computed form at 108.4 meV/atom. The formation energy (no corrections) is 0.590 eV/atom. The electronic total energy is -131.49 eV for the cell shown.